[1]
Material: Ho3Er8Sc4
Method: DFT, PBE
State: relaxed

Results
For the total energy, the calculation gives -4.64 eV/atom. As for the density: 7414 kg/m3. The calculation puts the formation energy at 0.396 eV per atom.

Unit cell a=8.774 b=8.774 c=6.559 alpha=109.12 beta=109.12 gamma=84.28
Atoms (fractional coordinates):
Ho 0.000 0.000 0.000
Ho 0.000 0.500 0.500
Ho 0.500 0.000 0.500
Er 0.203 0.203 0.667
Er 0.203 0.797 0.500
Er 0.261 0.739 0.000
Er 0.265 0.265 0.201
Er 0.735 0.735 0.799
Er 0.739 0.261 0.000
Er 0.797 0.203 0.500
Er 0.797 0.797 0.333
Sc 0.000 0.500 0.000
Sc 0.500 0.000 0.000
Sc 0.500 0.500 0.000
Sc 0.500 0.500 0.500


[2]
Material: Pr3Th2ScAs6
Method: DFT, PBE
State: relaxed

Results
For the total energy, the calculation gives -6.72 eV/atom. As for the density: 7137 kg/m3. The calculation puts the formation energy at -1.438 eV per atom.

Unit cell a=9.470 b=9.470 c=8.458 alpha=103.37 beta=103.37 gamma=25.86
Atoms (fractional coordinates):
Pr 0.000 0.000 0.000
Pr 0.333 0.333 0.665
Pr 0.667 0.667 0.335
Th 0.337 0.337 0.172
Th 0.663 0.663 0.828
Sc 0.000 0.000 0.500
As 0.160 0.160 0.582
As 0.168 0.168 0.080
As 0.500 0.500 0.267
As 0.500 0.500 0.733
As 0.832 0.832 0.920
As 0.840 0.840 0.418


[3]
Material: MgRuSeO5
Method: DFT, PBE
State: relaxed

Results
For the total energy, the calculation gives -6.01 eV/atom. As for the density: 4142 kg/m3. The uncorrected formation energy is -1.11 eV/atom.

Unit cell a=6.358 b=6.358 c=6.440 alpha=100.68 beta=100.68 gamma=111.87
Atoms (fractional coordinates):
Mg 0.000 0.500 0.000
Mg 0.500 0.000 0.500
Ru 0.022 0.978 0.250
Ru 0.978 0.022 0.750
Se 0.465 0.535 0.750
Se 0.535 0.465 0.250
O 0.132 0.209 0.095
O 0.196 0.804 0.250
O 0.209 0.132 0.595
O 0.318 0.595 0.929
O 0.405 0.682 0.571
O 0.595 0.318 0.429
O 0.682 0.405 0.071
O 0.791 0.868 0.405
O 0.804 0.196 0.750
O 0.868 0.791 0.905


[4]
Material: Pr6Ga2C
Method: DFT, PBE
State: relaxed

Results
For the total energy, the calculation gives -4.96 eV/atom. The calculation puts the energy above the lowest structure with this stoichiometry at 0.178 eV/atom. As for the density: 5787 kg/m3. The calculation puts the formation energy at -0.080 eV per atom.

Unit cell a=7.155 b=7.155 c=11.174 alpha=90.00 beta=90.00 gamma=90.00
Atoms (fractional coordinates):
Pr 0.196 0.196 0.156
Pr 0.196 0.196 0.844
Pr 0.248 0.752 0.000
Pr 0.252 0.252 0.500
Pr 0.304 0.696 0.344
Pr 0.304 0.696 0.656
Pr 0.696 0.304 0.344
Pr 0.696 0.304 0.656
Pr 0.748 0.748 0.500
Pr 0.752 0.248 0.000
Pr 0.804 0.804 0.156
Pr 0.804 0.804 0.844
Ga 0.000 0.000 0.366
Ga 0.000 0.000 0.634
Ga 0.500 0.500 0.134
Ga 0.500 0.500 0.866
C 0.000 0.000 0.000
C 0.500 0.500 0.500